# PBE BaBe2Si, optimized geometry
# Uncorrected formation energy, meV/atom: 10.7
# Total magnetization, μB/f.u.: 0.00
# Raw total energy, eV/atom: -3.689
# Volume, Å³/f.u.: 77
data_BaBe2Si
_chemical_formula_sum 'Ba3 Be6 Si3'
_cell_length_a 3.8513
_cell_length_b 3.8513
_cell_length_c 18.0699
_cell_angle_alpha 90.00
_cell_angle_beta 90.00
_cell_angle_gamma 120.00
_symmetry_space_group_name_H-M 'R 3 m'
_symmetry_Int_Tables_number 160
_symmetry_space_group_name_Hall 'R 3 -2"'
loop_
_atom_site_label
_atom_site_fract_x
_atom_site_fract_y
_atom_site_fract_z
Ba1 0.0000 0.0000 0.0000
Be1 0.0000 0.0000 0.1855
Be2 0.0000 0.0000 0.5102
Si1 0.0000 0.0000 0.8041